A plane-wave DFT calculation with PBE-GGA was carried out for a relaxed structure of TmFeSi2.

Lattice parameters (Å, degrees): 3.8847 3.8847 14.6352 90.00 90.00 120.00
Space group R-3m (No. 166, hexagonal axes)
Symmetry-distinct sites (fractional):
Tm 0.0000 0.0000 0.0000
Fe 0.0000 0.0000 0.5000
Si 0.0000 0.0000 0.2091

- Formation energy from raw total energies: -0.641 eV per atom
- Calculated density: 7.317 g/cm3
- Uncorrected energy: -6.59 eV/atom

***

A plane-wave DFT calculation with PBE-GGA was carried out for a relaxed structure of ReSb2Pb.

Lattice parameters (Å, degrees): 3.261 3.262 9.579 90.00 90.75 90.00
Space group P2/m (No. 10)
Symmetry-distinct sites (fractional):
Re 0.000 0.000 0.000
Sb 0.494 0.500 0.828
Pb 0.500 0.000 0.500

- Formation energy from raw total energies: 0.255 eV per atom
- Calculated density: 10.381 g/cm3
- Uncorrected energy: -5.84 eV/atom

***

A plane-wave DFT calculation with PBE-GGA was carried out for a relaxed structure of Er2Al3Au4.

Lattice parameters (Å, degrees): 6.700 7.538 7.252 90.00 107.82 90.00
Space group P2_1/c (No. 14)
Symmetry-distinct sites (fractional):
Er 0.190 0.194 0.058
Al 0.235 0.595 0.240
Al 0.500 0.000 0.500
Au 0.116 0.585 0.828
Au 0.451 0.653 0.621

- Formation energy from the elements: -0.704 eV per atom
- Calculated density: 11.462 g/cm3
- Uncorrected energy: -4.42 eV/atom
- Distance to the lowest polymorph of the same formula: 0 meV per atom

***

A plane-wave DFT calculation with PBE-GGA was carried out for a relaxed structure of NaAgSnPd.

Lattice parameters (Å, degrees): 6.724 6.724 6.724 90.00 90.00 90.00
Space group F-43m (No. 216)
Symmetry-distinct sites (fractional):
Na 0.000 0.000 0.000
Ag 0.250 0.250 0.750
Sn 0.000 0.000 0.500
Pd 0.250 0.250 0.250

- Formation energy from the elements: -0.224 eV per atom
- Calculated density: 7.778 g/cm3
- Uncorrected energy: -3.57 eV/atom

***

A plane-wave DFT calculation with PBE-GGA was carried out for a relaxed structure of BaSr2YIr.

Lattice parameters (Å, degrees): 6.067 6.067 5.483 90.00 90.00 90.00
Space group P4/mmm (No. 123)
Symmetry-distinct sites (fractional):
Ba 0.000 0.000 0.000
Sr 0.000 0.500 0.500
Y 0.500 0.500 0.000
Ir 0.500 0.500 0.500

- Formation energy from the elements: -0.177 eV per atom
- Calculated density: 4.885 g/cm3
- Uncorrected energy: -4.30 eV/atom

***

A plane-wave DFT calculation with PBE-GGA was carried out for a relaxed structure of Ti2Tc2I.

Lattice parameters (Å, degrees): 4.164 4.164 11.041 90.00 90.00 90.00
Space group I4/mmm (No. 139)
Symmetry-distinct sites (fractional):
Ti 0.000 0.500 0.250
Tc 0.000 0.000 0.116
I 0.000 0.000 0.500

- Formation energy from raw total energies: 0.494 eV per atom
- Calculated density: 7.264 g/cm3
- Uncorrected energy: -7.12 eV/atom
- Distance to the lowest polymorph of the same formula: 201 meV per atom

***

A plane-wave DFT calculation with PBE-GGA was carried out for a relaxed structure of Rb2Te2Se.

Lattice parameters (Å, degrees): 7.186 7.186 8.535 90.00 90.00 90.00
Space group I4/mmm (No. 139)
Symmetry-distinct sites (fractional):
Rb 0.000 0.500 0.250
Te 0.000 0.000 0.173
Se 0.000 0.000 0.500

- Formation energy from raw total energies: -0.587 eV per atom
- Calculated density: 3.806 g/cm3
- Uncorrected energy: -2.93 eV/atom
- Distance to the lowest polymorph of the same formula: 6 meV per atom

***

A plane-wave DFT calculation with PBE-GGA was carried out for a relaxed structure of MgAgRh.

Lattice parameters (Å, degrees): 4.666 4.901 8.637 90.00 90.00 90.00
Space group Ama2 (No. 40)
Symmetry-distinct sites (fractional):
Mg 0.250 0.188 0.000
Ag 0.250 0.173 0.675
Rh 0.250 0.165 0.340

- Formation energy from the elements: -0.174 eV per atom
- Calculated density: 7.906 g/cm3
- Uncorrected energy: -4.11 eV/atom
- Distance to the lowest polymorph of the same formula: 40 meV per atom